The following is a DFT calculation (PBE) of a relaxed structure of CaRe2Ag.

Lattice parameters (Å, degrees): 2.7472 5.1442 5.0904 90.00 96.25 90.00
Space group P2/m (No. 10)
Asymmetric unit:
Ca  0.0000  0.0000  0.0000 [1 per cell]
Re  0.3258  0.5000  0.7604 [2 per cell]
Ag  0.5000  0.0000  0.5000 [1 per cell]

Properties
* energy: -0.502 Ry/atom
* energy relative to the elements: 58.9 kJ per mole of atoms
* offset from the most stable computed form: 0.39 eV per formula unit
* density of states at the Fermi level: 2.730 states/eV per cell
* spin magnetization: 0.00 μB per formula unit